Run A
This record from Alexandria describes a relaxed structure of CdTeI2F. The functional is PBE.

Properties
* M_tot: 2.13 Bohr magnetons per cell

a b c (Å): 5.791 5.791 5.939
angles (deg): 90.00 90.00 90.00
Last column: magnetic moment on the atom in μB.
Sites, in units of the cell vectors:
F1 0.500 0.500 0.500  -0.02
Cd1 0.000 0.000 0.000  0.00
I1 0.000 0.500 0.000  0.17
Te1 0.000 0.000 0.500  0.91
I2 0.500 0.000 0.000  0.17

=====

Run B
This record from Alexandria describes a relaxed structure of CdTeI2F. The functional is PBE.

Properties
* M_tot: 0.48 Bohr magnetons per cell

a b c (Å): 6.056 6.056 4.244
angles (deg): 90.00 90.00 90.00
Last column: magnetic moment on the atom in μB.
Sites, in units of the cell vectors:
Te1 0.000 0.000 0.500  0.21
Cd1 0.500 0.500 0.500  0.00
F1 0.000 0.000 0.000  0.02
I1 0.000 0.500 0.000  0.04
I2 0.500 0.000 0.000  0.04

=====

run B wins, 272 meV/atom ahead of the next structure.

=====

Run A
This record from Alexandria describes a relaxed structure of CdTe2IF. The functional is PBE.

Properties
* M_tot: 2.64 Bohr magnetons per cell

a b c (Å): 5.694 5.694 5.811
angles (deg): 90.00 90.00 90.00
Last column: magnetic moment on the atom in μB.
Sites, in units of the cell vectors:
F1 0.500 0.500 0.500  0.35
Te1 0.500 0.000 0.000  0.55
Te2 0.000 0.500 0.000  0.55
Cd1 0.000 0.000 0.000  0.00
I1 0.000 0.000 0.500  0.19

=====

Run B
This record from Alexandria describes a relaxed structure of CdTe2IF. The functional is PBE.

Properties
* M_tot: 0.00 Bohr magnetons per cell

a b c (Å): 4.653 4.653 7.411
angles (deg): 90.00 90.00 90.00
Sites, in units of the cell vectors:
Te1 0.000 0.500 0.000
Cd1 0.500 0.500 0.500
F1 0.000 0.000 0.000
I1 0.000 0.000 0.500
Te2 0.500 0.000 0.000

=====

run B wins, 401 meV/atom ahead of the next structure.

=====

Run A
This record from Alexandria describes a relaxed structure of CdIn2F4. The functional is PBE.

Properties
* M_tot: 0.00 Bohr magnetons per cell

a b c (Å): 3.939 3.956 8.469
angles (deg): 103.52 103.45 90.00
Sites, in units of the cell vectors:
Cd1 0.000 0.000 0.000
F1 0.414 0.914 0.828
F2 0.586 0.086 0.172
In1 0.675 0.676 0.351
In2 0.325 0.324 0.649
F3 0.086 0.586 0.171
F4 0.914 0.414 0.829

=====

Run B
This record from Alexandria describes a relaxed structure of CdIn2F4. The functional is PBE.

Properties
* M_tot: 0.00 Bohr magnetons per cell

a b c (Å): 4.518 4.518 7.447
angles (deg): 72.34 72.34 90.00
Sites, in units of the cell vectors:
F1 0.500 0.000 0.000
In1 0.650 0.650 0.699
F2 0.831 0.831 0.339
F3 0.169 0.169 0.661
In2 0.350 0.350 0.301
Cd1 0.000 0.000 0.000
F4 0.000 0.500 0.000

=====

run A wins, 101 meV/atom ahead of the next structure.

=====

Run A
This record from Alexandria describes a relaxed structure of CdIn2F. The functional is PBE.

Properties
* M_tot: 0.00 Bohr magnetons per cell

a b c (Å): 4.999 4.999 4.999
angles (deg): 60.00 60.00 60.00
Sites, in units of the cell vectors:
F1 0.000 0.000 0.000
Cd1 0.500 0.500 0.500
In1 0.750 0.750 0.750
In2 0.250 0.250 0.250

=====

Run B
This record from Alexandria describes a relaxed structure of CdIn2F. The functional is PBE.

Properties
* M_tot: 0.00 Bohr magnetons per cell

a b c (Å): 3.281 5.210 5.210
angles (deg): 90.00 90.00 90.00
Sites, in units of the cell vectors:
F1 0.500 0.000 0.000
In1 0.000 0.000 0.500
Cd1 0.500 0.500 0.500
In2 0.000 0.500 0.000

=====

run B wins, 51 meV/atom ahead of the next structure.

=====

Run A
This record from Alexandria describes a relaxed structure of CdIn2F. The functional is PBE.

Properties
* M_tot: 0.00 Bohr magnetons per cell

a b c (Å): 3.354 3.354 9.502
angles (deg): 79.83 79.83 60.00
Sites, in units of the cell vectors:
F1 0.000 0.000 0.000
Cd1 0.500 0.500 0.500
In1 0.735 0.735 0.796
In2 0.265 0.265 0.204

=====

Run B
This record from Alexandria describes a relaxed structure of CdIn2F. The functional is PBE.

Properties
* M_tot: 0.00 Bohr magnetons per cell

a b c (Å): 5.369 5.369 8.530
angles (deg): 71.65 71.65 90.00
Sites, in units of the cell vectors:
Cd1 0.750 0.250 0.500
In1 0.217 0.625 0.250
In2 0.533 0.125 0.250
In3 0.875 0.783 0.750
Cd2 0.000 0.000 0.000
F1 0.500 0.500 0.000
F2 0.250 0.750 0.500
In4 0.375 0.467 0.750

=====

Run C
This record from Alexandria describes a relaxed structure of CdIn2F. The functional is PBE.

Properties
* M_tot: 0.00 Bohr magnetons per cell

a b c (Å): 3.333 3.333 9.636
angles (deg): 80.04 80.04 60.00
Sites, in units of the cell vectors:
In1 0.066 0.066 0.801
Cd1 0.497 0.497 0.509
In2 0.260 0.260 0.221
F1 0.677 0.677 0.969

=====

run A wins, 6 meV/atom ahead of the next structure.

=====

Run A
This record from Alexandria describes a relaxed structure of Cd2InF. The functional is PBE.

Properties
* M_tot: 0.00 Bohr magnetons per cell

a b c (Å): 4.965 4.965 4.965
angles (deg): 60.00 60.00 60.00
Sites, in units of the cell vectors:
Cd1 0.750 0.750 0.750
F1 0.000 0.000 0.000
Cd2 0.250 0.250 0.250
In1 0.500 0.500 0.500

=====

Run B
This record from Alexandria describes a relaxed structure of Cd2InF. The functional is PBE.

Properties
* M_tot: 0.00 Bohr magnetons per cell

a b c (Å): 7.800 7.800 6.220
angles (deg): 51.16 51.16 90.00
Sites, in units of the cell vectors:
F1 0.250 0.750 0.500
In1 0.000 0.000 0.000
Cd1 0.573 0.125 0.250
Cd2 0.875 0.823 0.750
F2 0.500 0.500 0.000
Cd3 0.177 0.625 0.250
Cd4 0.375 0.427 0.750
In2 0.750 0.250 0.500

=====

run B wins, 147 meV/atom ahead of the next structure.

=====

Run A
This record from Alexandria describes a relaxed structure of Cd2In2F7. The functional is PBE.

Properties
* M_tot: 0.00 Bohr magnetons per cell

a b c (Å): 5.680 5.509 5.509
angles (deg): 80.99 89.96 89.96
Sites, in units of the cell vectors:
In1 0.500 0.223 0.777
F1 0.745 0.500 0.000
F2 0.255 0.500 0.000
In2 0.500 0.777 0.223
F3 0.255 0.000 0.500
F4 0.258 0.500 0.500
F5 0.745 0.000 0.500
Cd1 0.000 0.729 0.729
F6 0.000 0.000 0.000
F7 0.742 0.500 0.500
Cd2 0.000 0.271 0.271

=====

Run B
This record from Alexandria describes a relaxed structure of Cd2In2F7. The functional is PBE.

Properties
* M_tot: 0.00 Bohr magnetons per cell

a b c (Å): 7.270 4.896 4.896
angles (deg): 90.45 82.45 82.45
Sites, in units of the cell vectors:
In1 0.010 0.302 0.302
F1 0.196 0.451 0.946
F2 0.480 0.285 0.285
F3 0.804 0.054 0.549
In2 0.990 0.698 0.698
F4 0.196 0.946 0.451
Cd1 0.500 0.234 0.766
Cd2 0.500 0.766 0.234
F5 0.804 0.549 0.054
F6 0.520 0.715 0.715
F7 0.000 0.000 0.000

=====

run A wins, 43 meV/atom ahead of the next structure.

=====

Run A
This record from Alexandria describes a relaxed structure of CdIn2F8. The functional is PBE.

Properties
* M_tot: 0.00 Bohr magnetons per cell

a b c (Å): 5.453 5.648 5.648
angles (deg): 74.46 99.93 99.93
Sites, in units of the cell vectors:
In1 0.557 0.319 0.319
F1 0.828 0.192 0.192
In2 0.443 0.681 0.681
F2 0.677 0.666 0.049
F3 0.736 0.560 0.560
Cd1 0.000 0.000 0.000
F4 0.172 0.808 0.808
F5 0.677 0.049 0.666
F6 0.323 0.334 0.951
F7 0.264 0.440 0.440
F8 0.323 0.951 0.334

=====

Run B
This record from Alexandria describes a relaxed structure of CdIn2F8. The functional is PBE.

Properties
* M_tot: 0.00 Bohr magnetons per cell

a b c (Å): 4.249 5.894 5.894
angles (deg): 111.21 97.41 97.41
Sites, in units of the cell vectors:
Cd1 0.500 0.000 0.000
F1 0.500 0.766 0.234
F2 0.912 0.670 0.938
F3 0.912 0.938 0.670
F4 0.500 0.234 0.766
F5 0.088 0.062 0.330
F6 0.705 0.376 0.376
In1 0.000 0.318 0.682
F7 0.088 0.330 0.062
F8 0.295 0.624 0.624
In2 0.000 0.682 0.318

=====

run A wins, 63 meV/atom ahead of the next structure.

=====

Run A
This record from Alexandria describes a relaxed structure of CdInF2. The functional is PBE.

Properties
* M_tot: 0.00 Bohr magnetons per cell

a b c (Å): 8.027 8.027 8.027
angles (deg): 25.09 25.09 25.09
Sites, in units of the cell vectors:
F1 0.115 0.115 0.115
In1 0.000 0.000 0.000
Cd1 0.500 0.500 0.500
F2 0.885 0.885 0.885

=====

Run B
This record from Alexandria describes a relaxed structure of CdInF2. The functional is PBE.

Properties
* M_tot: 0.00 Bohr magnetons per cell

a b c (Å): 4.621 4.621 4.621
angles (deg): 60.00 60.00 60.00
Sites, in units of the cell vectors:
F1 0.250 0.250 0.250
Cd1 0.000 0.000 0.000
In1 0.500 0.500 0.500
F2 0.750 0.750 0.750

=====

Run C
This record from Alexandria describes a relaxed structure of CdInF2. The functional is PBE.

Properties
* M_tot: 0.00 Bohr magnetons per cell

a b c (Å): 6.087 6.087 6.610
angles (deg): 62.58 62.58 90.00
Sites, in units of the cell vectors:
F1 0.375 0.425 0.750
Cd1 0.500 0.500 0.000
Cd2 0.250 0.750 0.500
F2 0.875 0.825 0.750
In1 0.750 0.250 0.500
In2 0.000 0.000 0.000
F3 0.175 0.625 0.250
F4 0.575 0.125 0.250

=====

run A wins, 137 meV/atom ahead of the next structure.

=====

Run A
This record from Alexandria describes a relaxed structure of CdInF. The functional is PBE.

Properties
* M_tot: 0.00 Bohr magnetons per cell

a b c (Å): 3.265 3.265 6.671
angles (deg): 90.00 90.00 120.00
Sites, in units of the cell vectors:
In1 0.667 0.333 0.371
F1 0.333 0.667 0.690
Cd1 0.000 0.000 0.939

=====

Run B
This record from Alexandria describes a relaxed structure of CdInF. The functional is PBE.

Properties
* M_tot: 0.00 Bohr magnetons per cell

a b c (Å): 4.147 4.147 5.911
angles (deg): 110.53 110.53 90.00
Sites, in units of the cell vectors:
F1 0.288 0.288 0.575
In1 0.496 0.496 0.991
Cd1 0.067 0.067 0.133

=====

run B wins, 20 meV/atom ahead of the next structure.

=====

Run A
This record from Alexandria describes a relaxed structure of CdInN2F. The functional is PBE.

Properties
* M_tot: 1.71 Bohr magnetons per cell

a b c (Å): 4.278 4.278 4.257
angles (deg): 90.00 90.00 90.00
Last column: magnetic moment on the atom in μB.
Sites, in units of the cell vectors:
F1 0.000 0.000 0.500  -0.01
N1 0.000 0.500 0.000  0.66
In1 0.000 0.000 0.000  -0.01
N2 0.500 0.000 0.000  0.66
Cd1 0.500 0.500 0.500  -0.08

=====

Run B
This record from Alexandria describes a relaxed structure of CdInN2F. The functional is PBE.

Properties
* M_tot: 3.50 Bohr magnetons per cell

a b c (Å): 4.367 4.367 4.645
angles (deg): 90.00 90.00 90.00
Last column: magnetic moment on the atom in μB.
Sites, in units of the cell vectors:
N1 0.500 0.000 0.000  1.10
Cd1 0.000 0.000 0.000  0.07
N2 0.000 0.500 0.000  1.10
In1 0.500 0.500 0.500  0.14
F1 0.000 0.000 0.500  0.06

=====

run A wins, 305 meV/atom ahead of the next structure.

=====

Run A
This record from Alexandria describes a relaxed structure of CdIrF3. The functional is PBE.

Properties
* M_tot: 0.00 Bohr magnetons per cell

a b c (Å): 4.273 4.273 4.273
angles (deg): 90.00 90.00 90.00
Sites, in units of the cell vectors:
F1 0.000 0.000 0.500
Ir1 0.000 0.000 0.000
F2 0.500 0.000 0.000
Cd1 0.500 0.500 0.500
F3 0.000 0.500 0.000

=====

Run B
This record from Alexandria describes a relaxed structure of CdIrF3. The functional is PBE.

Properties
* M_tot: 2.48 Bohr magnetons per cell

a b c (Å): 4.399 4.399 4.399
angles (deg): 90.00 90.00 90.00
Last column: magnetic moment on the atom in μB.
Sites, in units of the cell vectors:
Ir1 0.500 0.500 0.500  2.21
F1 0.500 0.000 0.000  0.03
F2 0.000 0.500 0.000  0.04
Cd1 0.000 0.000 0.000  0.00
F3 0.000 0.000 0.500  0.03

=====

run A wins, 261 meV/atom ahead of the next structure.